! GGA-PBEsol Tb5Ni2Bi, relaxed; values from VASP
&SYSTEM
  ibrav = 0, nat = 16, ntyp = 3
/
ATOMIC_SPECIES
Ni 58.69 Ni.upf
Tb 158.93 Tb.upf
Bi 208.98 Bi.upf
ATOMIC_POSITIONS crystal
Ni 0.131 0.000 0.631
Ni 0.369 0.000 0.131
Ni 0.869 0.000 0.369
Ni 0.631 0.000 0.869
Tb 0.710 0.732 0.790
Tb 0.022 0.732 0.478
Tb 0.500 0.000 0.500
Tb 0.522 0.732 0.290
Tb 0.290 0.268 0.210
Tb 0.000 0.000 0.000
Tb 0.978 0.268 0.522
Tb 0.478 0.268 0.710
Tb 0.790 0.268 0.022
Tb 0.210 0.732 0.978
Bi 0.750 0.500 0.250
Bi 0.250 0.500 0.750
CELL_PARAMETERS angstrom
7.611 0.000 0.000
-3.805 7.655 0.039
0.000 3.750 6.623
! symmetry = I4/mcm, No. 140
! formation energy = -0.46 eV/atom

! GGA-PBEsol KHg3, relaxed; values from VASP
&SYSTEM
  ibrav = 0, nat = 4, ntyp = 2
/
ATOMIC_SPECIES
Hg 200.59 Hg.upf
K 39.10 K.upf
ATOMIC_POSITIONS crystal
Hg 0.000 0.500 0.918
Hg 0.500 0.500 0.417
Hg 0.500 0.000 0.918
K 0.000 0.000 0.418
CELL_PARAMETERS angstrom
4.777 0.000 0.000
0.000 4.777 0.000
0.000 0.000 4.775
! symmetry = Pm-3m, No. 221
! formation energy = -0.17 eV/atom

! GGA-PBEsol InIrPb, relaxed; values from VASP
&SYSTEM
  ibrav = 0, nat = 3, ntyp = 3
/
ATOMIC_SPECIES
Pb 207.20 Pb.upf
Ir 192.22 Ir.upf
In 114.82 In.upf
ATOMIC_POSITIONS crystal
Pb 0.000 0.000 0.000
Ir 0.250 0.250 0.250
In 0.500 0.500 0.500
CELL_PARAMETERS angstrom
4.559 0.000 0.000
2.280 3.949 0.000
2.280 1.316 3.723
! symmetry = F-43m, No. 216
! formation energy = 0.03 eV/atom

! GGA-PBEsol K3FeO, relaxed; values from VASP
&SYSTEM
  ibrav = 0, nat = 5, ntyp = 3
/
ATOMIC_SPECIES
K 39.10 K.upf
O 16.00 O.upf
Fe 55.84 Fe.upf
ATOMIC_POSITIONS crystal
K 0.000 0.500 0.000
K 0.500 0.000 0.000
K 0.000 0.000 0.500
O 0.000 0.000 0.000
Fe 0.500 0.500 0.500
CELL_PARAMETERS angstrom
-0.929 -5.085 -1.102
5.139 -0.721 -1.006
0.817 -1.249 5.070
! symmetry = Pm-3m, No. 221
! formation energy from raw total energies = 0.131 eV per atom

! GGA-PBEsol Er2B2Cl2O5, relaxed; values from VASP
&SYSTEM
  ibrav = 0, nat = 44, ntyp = 4
/
ATOMIC_SPECIES
Cl 35.45 Cl.upf
B 10.81 B.upf
O 16.00 O.upf
Er 167.26 Er.upf
ATOMIC_POSITIONS crystal
Cl 0.000 0.914 0.109
Cl 0.000 0.009 0.369
Cl 0.000 0.991 0.631
Cl 0.000 0.414 0.391
Cl 0.000 0.491 0.869
Cl 0.000 0.086 0.891
Cl 0.000 0.509 0.131
Cl 0.000 0.586 0.609
B 0.500 0.744 0.934
B 0.500 0.303 0.733
B 0.500 0.244 0.566
B 0.500 0.697 0.267
B 0.500 0.256 0.066
B 0.500 0.803 0.767
B 0.500 0.756 0.434
B 0.500 0.197 0.233
O 0.500 0.712 0.840
O 0.500 0.627 0.464
O 0.500 0.867 0.488
O 0.500 0.757 0.679
O 0.500 0.939 0.776
O 0.500 0.788 0.340
O 0.500 0.243 0.321
O 0.500 0.257 0.821
O 0.500 0.743 0.179
O 0.500 0.133 0.512
O 0.500 0.061 0.224
O 0.500 0.212 0.660
O 0.500 0.288 0.160
O 0.500 0.561 0.276
O 0.500 0.439 0.724
O 0.500 0.633 0.988
O 0.500 0.367 0.012
O 0.500 0.373 0.536
O 0.500 0.873 0.964
O 0.500 0.127 0.036
Er 0.500 0.930 0.109
Er 0.500 0.570 0.609
Er 0.500 0.470 0.879
Er 0.500 0.530 0.121
Er 0.500 0.430 0.391
Er 0.500 0.030 0.379
Er 0.500 0.070 0.891
Er 0.500 0.970 0.621
CELL_PARAMETERS angstrom
5.213 0.000 0.000
0.000 9.987 0.000
0.000 0.000 14.739
! symmetry = Pbam, No. 55
! formation energy from raw total energies = -2.843 eV per atom

! GGA-PBEsol Rb2HfZnF, relaxed; values from VASP
&SYSTEM
  ibrav = 0, nat = 5, ntyp = 4
/
ATOMIC_SPECIES
Zn 65.41 Zn.upf
Rb 85.47 Rb.upf
Hf 178.49 Hf.upf
F 19.00 F.upf
ATOMIC_POSITIONS crystal
Zn 0.500 0.000 0.000
Rb 0.000 0.500 0.000
Rb 0.000 0.000 0.500
Hf 0.000 0.000 0.000
F 0.500 0.500 0.500
CELL_PARAMETERS angstrom
4.977 0.000 0.000
0.000 6.961 0.000
0.000 0.000 6.961
! symmetry = P4/mmm, No. 123
! formation energy from raw total energies = 0.561 eV per atom

! GGA-PBEsol CdTcAu2, relaxed; values from VASP
&SYSTEM
  ibrav = 0, nat = 4, ntyp = 3
/
ATOMIC_SPECIES
Au 196.97 Au.upf
Tc 98.00 Tc.upf
Cd 112.41 Cd.upf
ATOMIC_POSITIONS crystal
Au 0.000 0.000 0.500
Au 0.000 0.500 0.000
Tc 0.500 0.000 0.000
Cd 0.500 0.500 0.500
CELL_PARAMETERS angstrom
3.923 0.000 0.000
0.000 4.138 0.000
0.000 0.000 4.138
! symmetry = P4/mmm, No. 123
! formation energy = 0.35 eV/atom

! GGA-PBEsol Er2CdOs, relaxed; values from VASP
&SYSTEM
  ibrav = 0, nat = 4, ntyp = 3
/
ATOMIC_SPECIES
Er 167.26 Er.upf
Os 190.23 Os.upf
Cd 112.41 Cd.upf
ATOMIC_POSITIONS crystal
Er 0.250 0.250 0.250
Er 0.750 0.750 0.750
Os 0.500 0.500 0.500
Cd 0.000 0.000 0.000
CELL_PARAMETERS angstrom
4.888 0.000 0.000
2.444 4.233 0.000
2.444 1.411 3.991
! symmetry = Fm-3m, No. 225
! formation energy = -0.26 eV/atom

no.,DFT total energy (eV/atom)
1,-5.664
2,-0.880
3,-5.570
4,-3.391
5,-7.766
6,-2.652
7,-4.727
8,-6.081